Computed, not measured: NaNiPtO4 after structural relaxation at the GGA+U level of DFT.

Calculated total energy in eV per atom: -5.1886
Space-group type: No. 74
Magnetization in Bohr magnetons per cell: 1.97
Density of states at the Fermi level in states/eV/f.u.: 2.28

abc: 6.330 6.261 6.076
angles: 119.03 90.00 120.37
Each line ends with the local moment (μB).
Element x y z (fractional)
Na 0.892 0.785 0.142  0.00
Na 0.108 0.215 0.858  0.00
Ni 0.500 0.000 0.500  1.56
Ni 0.500 0.000 0.000  1.56
Pt 0.500 0.500 0.500  -0.21
Pt 0.000 0.500 0.500  -0.21
O 0.740 0.480 0.703  0.01
O 0.322 0.054 0.277  -0.17
O 0.733 0.054 0.277  -0.17
O 0.740 0.480 0.277  0.01
O 0.260 0.520 0.723  0.01
O 0.678 0.946 0.723  -0.17
O 0.267 0.946 0.723  -0.17
O 0.260 0.520 0.297  0.01